1.
Entry from Alexandria: a geometry-optimized LaAuBr2 structure (GGA-PBE).

Cell: 7.4891 7.4891 7.4891 Å, 90.00 90.00 90.00°
Closest atoms and distances in Å follow each position.
Element x y z (fractional)
La  0.0000  0.0000  0.0000  4 Br 3.24, 4 Au 3.24
La  0.0000  0.5000  0.5000  4 Br 3.24, 4 Au 3.24
La  0.5000  0.0000  0.5000  4 Br 3.24, 4 Au 3.24
La  0.5000  0.5000  0.0000  4 Br 3.24, 4 Au 3.24
Au  0.2500  0.2500  0.7500  4 La 3.24, 4 Br 3.24
Au  0.2500  0.7500  0.2500  4 La 3.24, 4 Br 3.24
Au  0.7500  0.2500  0.2500  4 La 3.24, 4 Br 3.24
Au  0.7500  0.7500  0.7500  4 La 3.24, 4 Br 3.24
Br  0.0000  0.0000  0.5000  4 Au 3.24, 4 Br 3.24
Br  0.0000  0.5000  0.0000  4 Au 3.24, 4 Br 3.24
Br  0.2500  0.2500  0.2500  4 Br 3.24, 4 La 3.24
Br  0.2500  0.7500  0.7500  4 La 3.24, 4 Br 3.24
Br  0.5000  0.0000  0.0000  4 Au 3.24, 4 Br 3.24
Br  0.5000  0.5000  0.5000  4 Au 3.24, 4 Br 3.24
Br  0.7500  0.2500  0.7500  4 La 3.24, 4 Br 3.24
Br  0.7500  0.7500  0.2500  4 La 3.24, 4 Br 3.24

- magnetization (μB per formula unit) = 0.0
- uncorrected formation energy (eV/atom) = -1.11
- final energy (eV per atom) = -3.9954
- polymorph energy (0 for the lowest one) (meV/atom) = 194.7

***

2.
Entry from Alexandria: a geometry-optimized Nd4ThIn5 structure (GGA-PBE).

Cell: 3.6076 3.6076 22.2780 Å, 90.00 90.00 90.00°
Closest atoms and distances in Å follow each position.
Element x y z (fractional)
Nd  0.0000  0.0000  0.0995  8 In 3.38, 4 Nd 3.61
Nd  0.0000  0.0000  0.2985  8 In 3.38-3.39, 4 Nd 3.61
Nd  0.0000  0.0000  0.7015  8 In 3.38-3.39, 4 Nd 3.61
Nd  0.0000  0.0000  0.9005  8 In 3.38, 4 Nd 3.61
Th  0.0000  0.0000  0.5000  8 In 3.41, 4 Th 3.61
In  0.5000  0.5000  0.0000  8 Nd 3.38, 4 In 3.61
In  0.5000  0.5000  0.1992  8 Nd 3.38, 4 In 3.61
In  0.5000  0.5000  0.3987  4 Nd 3.39, 4 Th 3.41, 4 In 3.61
In  0.5000  0.5000  0.6013  4 Nd 3.39, 4 Th 3.41, 4 In 3.61
In  0.5000  0.5000  0.8008  8 Nd 3.38, 4 In 3.61

- magnetization (μB per formula unit) = 0.0
- N(E_F) (states/eV per cell) = 8.855
- final energy (eV per atom) = -4.4601
- E_form (eV per formula unit) = -4.4